# 1
! CsCdBr3 | Alexandria via LeMat-Bulk | PBE | relaxed; values from VASP
&SYSTEM
  ibrav = 0, nat = 5, ntyp = 3
/
ATOMIC_SPECIES
Cs 132.91 Cs.upf
Cd 112.41 Cd.upf
Br 79.90 Br.upf
CELL_PARAMETERS angstrom
5.5979 0.0000 0.0000
0.0000 5.5979 0.0000
0.0000 0.0000 5.5979
ATOMIC_POSITIONS angstrom
Cs 0.0000 0.0000 0.0000
Cd 2.7990 2.7990 2.7990
Br 0.0000 2.7990 2.7990
Br 2.7990 0.0000 2.7990
Br 2.7990 2.7990 0.0000
! Symmetry: Pm-3m (221)
! Crystal system: cubic

=====

# 2
! Cs3CdBr5 | Alexandria via LeMat-Bulk | PBE | relaxed; values from VASP
&SYSTEM
  ibrav = 0, nat = 18, ntyp = 3
/
ATOMIC_SPECIES
Cs 132.91 Cs.upf
Cd 112.41 Cd.upf
Br 79.90 Br.upf
CELL_PARAMETERS angstrom
-4.9147 4.9147 8.1065
4.9147 -4.9147 8.1065
4.9147 4.9147 -8.1065
ATOMIC_POSITIONS angstrom
Cs 6.4973 1.5826 0.0000
Cs 0.0000 0.0000 4.0533
Cs 1.5826 3.3321 0.0000
Cs 3.3321 1.5826 8.1065
Cs 0.0000 0.0000 12.1598
Cs -1.5826 3.3321 8.1065
Cd 4.9147 0.0000 4.0533
Cd 0.0000 4.9147 4.0533
Br 0.0000 0.0000 0.0000
Br 6.3794 -1.4647 2.4426
Br 3.4500 -1.4647 5.6639
Br 3.4500 1.4647 2.4426
Br 6.3794 1.4647 5.6639
Br 0.0000 0.0000 8.1065
Br -1.4647 3.4500 2.4426
Br 1.4647 3.4500 5.6639
Br 1.4647 6.3794 2.4426
Br -1.4647 6.3794 5.6639
! Symmetry: I4/mcm (140)
! Crystal system: tetragonal

=====

# 3
! Cs6CdBr8 | Alexandria via LeMat-Bulk | PBE | relaxed; values from VASP
&SYSTEM
  ibrav = 0, nat = 15, ntyp = 3
/
ATOMIC_SPECIES
Cs 132.91 Cs.upf
Cd 112.41 Cd.upf
Br 79.90 Br.upf
CELL_PARAMETERS angstrom
5.2685 3.0418 6.9778
-5.2685 3.0418 6.9778
0.0000 -6.0835 6.9778
ATOMIC_POSITIONS angstrom
Cs -2.2470 -3.4826 8.7595
Cs -4.1395 0.2046 12.1740
Cs -1.8925 3.6872 8.7595
Cs 1.8925 -3.6872 12.1740
Cs 4.1395 -0.2046 8.7595
Cs 2.2470 3.4826 12.1740
Cd 0.0000 0.0000 10.4668
Br 0.0000 0.0000 3.1992
Br -2.3581 0.1032 8.8172
Br -1.2684 -1.9906 12.1163
Br 1.0897 -2.0937 8.8172
Br -1.0897 2.0937 12.1163
Br 1.2684 1.9906 8.8172
Br 2.3581 -0.1032 12.1163
Br 0.0000 0.0000 17.7343
! Symmetry: R-3 (148)
! Crystal system: trigonal

=====

# 4
! Cs4CdBr5 | Alexandria via LeMat-Bulk | PBE | relaxed; values from VASP
&SYSTEM
  ibrav = 0, nat = 10, ntyp = 3
/
ATOMIC_SPECIES
Cs 132.91 Cs.upf
Cd 112.41 Cd.upf
Br 79.90 Br.upf
CELL_PARAMETERS angstrom
-5.6672 5.6672 3.6331
5.6672 -5.6672 3.6331
5.6672 5.6672 -3.6331
ATOMIC_POSITIONS angstrom
Cs 7.9631 1.0887 0.0000
Cs 1.0887 3.3713 0.0000
Cs 4.5785 2.2959 3.6331
Cs -2.2959 4.5785 3.6331
Cd 0.0000 0.0000 3.4993
Br 0.0000 0.0000 0.6283
Br 4.6325 2.5125 0.0127
Br 3.1547 -1.0348 3.6458
Br 2.5125 6.7020 0.0127
Br 1.0348 3.1547 3.6458
! Symmetry: I4 (79)
! Crystal system: tetragonal

=====

# 5
! Cs2CdBr2 | Alexandria via LeMat-Bulk | PBE | relaxed; values from VASP
&SYSTEM
  ibrav = 0, nat = 5, ntyp = 3
/
ATOMIC_SPECIES
Cs 132.91 Cs.upf
Cd 112.41 Cd.upf
Br 79.90 Br.upf
CELL_PARAMETERS angstrom
-3.4559 3.4559 7.0542
3.4559 -3.4559 7.0542
3.4559 3.4559 -7.0542
ATOMIC_POSITIONS angstrom
Cs 0.0000 0.0000 2.7489
Cs 0.0000 0.0000 11.3594
Cd 0.0000 0.0000 7.0542
Br 3.4559 0.0000 3.5271
Br 0.0000 3.4559 3.5271
! Symmetry: I4/mmm (139)
! Crystal system: tetragonal

=====

# 6
! CsCd2Br4 | Alexandria via LeMat-Bulk | PBE | relaxed; values from VASP
&SYSTEM
  ibrav = 0, nat = 14, ntyp = 3
/
ATOMIC_SPECIES
Cs 132.91 Cs.upf
Cd 112.41 Cd.upf
Br 79.90 Br.upf
CELL_PARAMETERS angstrom
7.0566 -4.3935 0.0000
7.0566 4.3935 0.0000
-6.9885 0.0000 8.6500
ATOMIC_POSITIONS angstrom
Cs -0.2874 0.0000 3.8931
Cs 7.4122 0.0000 4.7569
Cd 3.5283 2.1968 0.0000
Cd 3.5283 -2.1968 0.0000
Cd 7.0566 0.0000 0.0000
Cd 3.5624 0.0000 4.3250
Br 2.2327 0.0000 1.1249
Br -2.2672 0.0000 6.9826
Br 1.3556 1.8776 7.0024
Br 5.7692 1.8776 1.6477
Br 1.3556 -1.8776 7.0024
Br 5.7692 -1.8776 1.6477
Br 9.3920 0.0000 1.6674
Br 4.8920 0.0000 7.5251
! Symmetry: C2/m (12)
! Crystal system: monoclinic

=====

# 7
! Cs4CdBr6 | Alexandria via LeMat-Bulk | PBE | relaxed; values from VASP
&SYSTEM
  ibrav = 0, nat = 22, ntyp = 3
/
ATOMIC_SPECIES
Cs 132.91 Cs.upf
Cd 112.41 Cd.upf
Br 79.90 Br.upf
CELL_PARAMETERS angstrom
6.8680 3.9652 5.8204
-6.8680 3.9652 5.8204
0.0000 -7.9305 5.8204
ATOMIC_POSITIONS angstrom
Cs -4.3047 0.4745 7.2755
Cs 0.0000 0.0000 4.3653
Cs -2.5633 -3.4907 10.1857
Cs 1.7414 -3.9653 7.2755
Cs -1.7414 3.9652 10.1857
Cs 2.5633 3.4907 7.2755
Cs 0.0000 0.0000 13.0958
Cs 4.3047 -0.4745 10.1857
Cd 0.0000 0.0000 0.0000
Cd 0.0000 0.0000 8.7306
Br -5.9553 -1.8143 9.9814
Br -1.4064 -6.0646 7.4797
Br -1.4064 -1.8659 7.0712
Br -4.5489 4.2503 7.4797
Br -0.9128 2.1510 7.0712
Br -2.3191 0.2850 10.3899
Br 2.3192 -0.2850 7.0712
Br 0.9127 -2.1509 10.3899
Br 4.5489 -4.2503 9.9814
Br 1.4064 1.8659 10.3899
Br 1.4064 6.0646 9.9814
Br 5.9553 1.8143 7.4797
! Symmetry: R-3c (167)
! Crystal system: trigonal

=====

# 8
! CsCdBr3 | Alexandria via LeMat-Bulk | PBE | relaxed; values from VASP
&SYSTEM
  ibrav = 0, nat = 30, ntyp = 3
/
ATOMIC_SPECIES
Cs 132.91 Cs.upf
Cd 112.41 Cd.upf
Br 79.90 Br.upf
CELL_PARAMETERS angstrom
13.5944 0.0000 0.0000
-6.7972 11.7731 0.0000
0.0000 0.0000 6.9726
ATOMIC_POSITIONS angstrom
Cs -2.2703 3.9323 0.0000
Cs -4.5269 7.8407 3.4863
Cs 4.5407 0.0000 0.0000
Cs 2.2703 3.9323 3.4863
Cs 9.0537 0.0000 3.4863
Cs 4.5269 7.8407 0.0000
Cd 0.0000 0.0000 2.1807
Cd 0.0000 0.0000 5.6670
Cd 0.0000 7.8487 1.4477
Cd 0.0000 7.8487 4.9340
Cd 6.7972 3.9244 1.4477
Cd 6.7972 3.9244 4.9340
Br -1.1094 1.9215 3.9429
Br -5.6878 9.8516 0.4566
Br 2.2187 0.0000 3.9429
Br 1.1094 1.9215 0.4566
Br -1.1034 5.9238 3.1781
Br -2.2187 7.8556 6.6643
Br 1.1034 5.9238 6.6643
Br -1.1153 9.7667 3.1781
Br 2.2187 7.8556 3.1781
Br 1.1153 9.7667 6.6643
Br 5.6819 2.0063 3.1781
Br 4.5785 3.9175 6.6643
Br 7.9125 2.0063 6.6643
Br 5.6938 5.8492 3.1781
Br 9.0159 3.9175 3.1781
Br 7.9006 5.8492 6.6643
Br 11.3757 0.0000 0.4566
Br 5.6878 9.8516 3.9429
! Symmetry: P6_3cm (185)
! Crystal system: hexagonal

=====

# 9
! Cs2Cd2Br | Alexandria via LeMat-Bulk | PBE | relaxed; values from VASP
&SYSTEM
  ibrav = 0, nat = 5, ntyp = 3
/
ATOMIC_SPECIES
Cs 132.91 Cs.upf
Cd 112.41 Cd.upf
Br 79.90 Br.upf
CELL_PARAMETERS angstrom
-3.6757 3.6757 5.0286
3.6757 -3.6757 5.0286
3.6757 3.6757 -5.0286
ATOMIC_POSITIONS angstrom
Cs 3.6757 0.0000 2.5143
Cs 0.0000 3.6757 2.5143
Cd 0.0000 0.0000 1.5143
Cd 0.0000 0.0000 8.5429
Br 0.0000 0.0000 5.0286
! Symmetry: I4/mmm (139)
! Crystal system: tetragonal

=====

# 10
! CsCd2Br | Alexandria via LeMat-Bulk | PBE | relaxed; values from VASP
&SYSTEM
  ibrav = 0, nat = 4, ntyp = 3
/
ATOMIC_SPECIES
Cs 132.91 Cs.upf
Cd 112.41 Cd.upf
Br 79.90 Br.upf
CELL_PARAMETERS angstrom
0.0000 4.3920 4.3920
4.3920 0.0000 4.3920
4.3920 4.3920 0.0000
ATOMIC_POSITIONS angstrom
Cs 0.0000 0.0000 0.0000
Cd 2.1960 2.1960 2.1960
Cd 6.5880 6.5880 6.5880
Br 4.3920 4.3920 4.3920
! Symmetry: Fm-3m (225)
! Crystal system: cubic

=====

Quick rundown of energy relative to the elements, uncorrected, same order as above: -28.4, -34.7, -36.5, -33.5, -27.2, -22.4, -35.8, -29.1, -8.7, -9.2 kcal/mol of atoms